Density functional theory data (PBE) for a relaxed structure of CoNi5Te12.

a = 6.662 Å, b = 6.669 Å, c = 11.370 Å
α = 95.80°, β = 101.67°, γ = 60.04°
Positions (direct):
Te 0.541 0.333 0.619
Te 0.288 0.671 0.883
Te 0.041 0.671 0.117
Te 0.630 0.000 0.884
Te 0.370 0.000 0.116
Te 0.207 0.000 0.619
Te 0.874 0.667 0.619
Te 0.126 0.333 0.381
Te 0.459 0.667 0.381
Te 0.712 0.329 0.117
Te 0.793 0.000 0.381
Te 0.959 0.329 0.883
Ni 0.833 0.333 0.500
Ni 0.167 0.667 0.500
Ni 0.500 0.000 0.500
Ni 0.667 0.667 0.000
Ni 0.333 0.333 0.000
Co 0.000 0.000 0.000

Computed properties:
* VASP energy: -4.306 eV per atom
* D(E_F): 9.48 states/eV/f.u.
* volume: 428.6 Å³/cell

Density functional theory data (PBE) for a relaxed structure of CeHo5Al6.

a = 5.092 Å, b = 7.185 Å, c = 8.825 Å
α = 65.98°, β = 73.36°, γ = 90.00°
Positions (direct):
Ho 0.338 0.837 0.326
Ho 0.000 0.500 0.000
Ho 0.668 0.668 0.663
Ho 0.332 0.332 0.337
Ho 0.662 0.163 0.674
Al 0.500 0.263 0.000
Al 0.169 0.426 0.660
Al 0.831 0.574 0.340
Al 0.500 0.737 0.000
Al 0.831 0.087 0.340
Al 0.169 0.913 0.660
Ce 0.000 0.000 0.000

Computed properties:
* energy relative to the elements: -0.373 eV/atom
* VASP energy: -4.646 eV per atom
* D(E_F): 8.57 states/eV/f.u.
* volume: 280.0 Å³/cell

Density functional theory data (PBE) for a relaxed structure of Nd7Y4Ho.

a = 6.067 Å, b = 11.765 Å, c = 6.784 Å
α = 83.94°, β = 63.44°, γ = 75.06°
Positions (direct):
Ho 0.000 0.000 0.000
Nd 0.631 0.499 0.239
Nd 0.211 0.078 0.500
Nd 0.789 0.922 0.500
Nd 0.369 0.501 0.761
Nd 0.063 0.683 0.192
Nd 0.937 0.317 0.808
Nd 0.500 0.000 0.000
Y 0.644 0.224 0.489
Y 0.241 0.321 0.197
Y 0.759 0.679 0.803
Y 0.356 0.776 0.511

Computed properties:
* energy relative to the elements: 0.250 eV/atom
* VASP energy: -5.067 eV per atom
* D(E_F): 17.98 states/eV/f.u.
* ΔE to the lowest computed polymorph: 10.7 kJ/mol of atoms
* volume: 418.5 Å³/cell

Density functional theory data (PBE) for a relaxed structure of CsSbPbI2.

a = 6.471 Å, b = 6.471 Å, c = 6.153 Å
α = 90.00°, β = 90.00°, γ = 90.00°
Positions (direct):
Sb 0.000 0.000 0.500
Cs 0.500 0.500 0.500
I 0.500 0.000 0.000
I 0.000 0.500 0.000
Pb 0.000 0.000 0.000

Computed properties:
* VASP energy: -2.797 eV per atom
* D(E_F): 1.59 states/eV/f.u.
* volume: 257.6 Å³/cell

Density functional theory data (PBE) for a relaxed structure of PmTh2O6.

a = 3.978 Å, b = 3.978 Å, c = 9.705 Å
α = 90.00°, β = 90.00°, γ = 120.00°
Positions (direct):
Th 0.667 0.333 0.331
Th 0.333 0.667 0.669
O 0.333 0.667 0.913
O 0.000 0.000 0.745
O 0.667 0.333 0.087
O 0.000 0.000 0.255
O 0.667 0.333 0.583
O 0.333 0.667 0.417
Pm 0.000 0.000 0.000

Computed properties:
* VASP energy: -8.952 eV per atom
* D(E_F): 9.50 states/eV/f.u.
* volume: 133.0 Å³/cell

Density functional theory data (PBE) for a relaxed structure of FePtSe2N.

a = 4.834 Å, b = 4.834 Å, c = 3.343 Å
α = 90.00°, β = 90.00°, γ = 90.00°
Positions (direct):
N 0.000 0.000 0.500
Fe 0.000 0.000 0.000
Se 0.000 0.500 0.000
Se 0.500 0.000 0.000
Pt 0.500 0.500 0.500

Computed properties:
* VASP energy: -5.546 eV per atom
* D(E_F): 2.93 states/eV/f.u.
* ΔE to the lowest computed polymorph: 0.0 kJ/mol of atoms
* volume: 78.1 Å³/cell

Question: VASP energy of number 4 (CsSbPbI2)?
Answer: -2.797 eV per atom

Question: What is the D(E_F) in the sixth record?
Answer: 2.93 states/eV/f.u.

Question: What is the D(E_F) in the sixth record?
Answer: 2.93 states/eV/f.u.

Question: Number 3 is which compound?
Answer: Nd7Y4Ho